(1)
Ac2IO2, optimized geometry, DFT PBE-GGA; magnetization = 0.28 μB/cell; symmetry = P4/mmm, No. 123; offset from the most stable computed form = 518.3 meV per atom; raw total energy = -6.118 eV/atom; formation energy without anion corrections = -2.182 eV/atom
1.0
-1.085 -0.996 -3.835
-2.416 -2.985 1.459
-5.642 4.745 0.364
Ac O I
2 2 1
Direct
0.500 0.500 0.703
0.500 0.500 0.297
0.000 0.500 0.500
0.500 0.000 0.500
0.000 0.000 0.000


(2)
Ac2IO2, optimized geometry, DFT PBE-GGA; magnetization = 0.94 μB/cell; symmetry = I4/mmm, No. 139; offset from the most stable computed form = 0.0 meV per atom; raw total energy = -6.637 eV/atom; formation energy without anion corrections = -2.700 eV/atom
1.0
4.422 0.471 -0.193
-0.479 4.421 -0.193
-1.714 -2.126 6.738
I O Ac
1 2 2
Direct
0.000 0.000 0.000
0.750 0.250 0.500
0.250 0.750 0.500
0.662 0.662 0.323
0.338 0.338 0.677


(3)
Ac3IO8, optimized geometry, DFT PBE-GGA; magnetization = 0.00 μB/cell; symmetry = P6_3mc, No. 186; raw total energy = -6.758 eV/atom; formation energy without anion corrections = -2.296 eV/atom
1.0
6.897 0.000 0.000
0.000 6.721 -3.880
0.000 0.000 7.761
O Ac I
16 6 2
Direct
0.005 0.451 0.549
0.644 0.333 0.667
0.005 0.098 0.549
0.804 0.791 0.583
0.005 0.451 0.902
0.304 0.209 0.417
0.304 0.209 0.791
0.144 0.667 0.333
0.304 0.583 0.791
0.505 0.902 0.451
0.505 0.549 0.098
0.804 0.417 0.209
0.505 0.549 0.451
0.804 0.791 0.209
0.976 0.000 0.000
0.476 0.000 0.000
0.188 0.833 0.167
0.688 0.167 0.833
0.188 0.833 0.667
0.188 0.333 0.167
0.688 0.667 0.833
0.688 0.167 0.333
0.160 0.333 0.667
0.660 0.667 0.333


(4)
Ac2IO6, optimized geometry, DFT PBE-GGA; magnetization = 1.75 μB/cell; symmetry = P2_1/c, No. 14; raw total energy = -6.448 eV/atom; formation energy without anion corrections = -2.057 eV/atom
1.0
5.838 0.000 -0.510
0.000 6.518 0.000
-0.002 0.000 8.238
O Ac I
12 4 2
Direct
0.132 0.062 0.727
0.868 0.938 0.273
0.361 0.765 0.076
0.639 0.235 0.924
0.139 0.265 0.424
0.712 0.152 0.547
0.212 0.348 0.047
0.788 0.652 0.953
0.861 0.735 0.576
0.368 0.562 0.773
0.288 0.848 0.453
0.632 0.438 0.227
0.468 0.080 0.250
0.532 0.920 0.750
0.032 0.580 0.250
0.968 0.420 0.750
0.500 0.500 0.000
0.000 0.000 0.500


(5)
Ac2IO8, optimized geometry, DFT PBE-GGA; magnetization = 3.03 μB/cell; symmetry = C2/m, No. 12; raw total energy = -5.981 eV/atom; formation energy without anion corrections = -1.487 eV/atom
1.0
-3.909 -0.570 -2.780
-0.275 -6.213 -1.926
-4.570 -3.076 3.470
Ac O I
2 8 1
Direct
0.334 0.319 0.319
0.666 0.681 0.681
0.279 0.086 0.086
0.724 0.429 0.429
0.224 0.043 0.696
0.776 0.957 0.304
0.721 0.914 0.914
0.276 0.571 0.571
0.224 0.696 0.043
0.776 0.304 0.957
0.000 0.000 0.000


(6)
Ac3IO4, optimized geometry, DFT PBE-GGA; magnetization = 0.00 μB/cell; symmetry = P4/mmm, No. 123; raw total energy = -7.344 eV/atom; formation energy without anion corrections = -3.130 eV/atom
1.0
-0.385 3.895 1.738
-1.543 -1.754 3.589
9.526 -0.728 3.741
Ac O I
3 4 1
Direct
0.500 0.500 0.744
0.500 0.500 0.256
0.000 0.000 0.000
0.500 0.000 0.151
0.000 0.500 0.151
0.000 0.500 0.849
0.500 0.000 0.849
0.000 0.000 0.500


(7)
Ac2I2O7, optimized geometry, DFT PBE-GGA; magnetization = 0.00 μB/cell; symmetry = C2/m, No. 12; raw total energy = -5.689 eV/atom; formation energy without anion corrections = -1.505 eV/atom
1.0
-1.020 1.028 -5.809
-1.192 -6.036 -0.366
-5.558 1.954 1.814
O Ac I
7 2 2
Direct
0.273 0.593 0.921
0.727 0.407 0.079
0.000 0.000 0.000
0.727 0.079 0.407
0.296 0.379 0.379
0.704 0.621 0.621
0.273 0.921 0.593
0.500 0.294 0.706
0.500 0.706 0.294
0.063 0.733 0.733
0.937 0.267 0.267


(8)
Ac2I3O, optimized geometry, DFT PBE-GGA; magnetization = 0.00 μB/cell; symmetry = P-1, No. 2; raw total energy = -5.015 eV/atom; formation energy without anion corrections = -2.044 eV/atom
1.0
4.368 0.001 0.786
1.841 10.857 2.323
0.359 1.039 10.573
Ac I O
4 6 2
Direct
0.570 0.041 0.820
0.870 0.272 0.986
0.430 0.959 0.180
0.130 0.728 0.014
0.036 0.267 0.662
0.669 0.492 0.171
0.964 0.733 0.338
0.331 0.508 0.829
0.221 0.879 0.681
0.779 0.121 0.319
0.422 0.161 0.995
0.578 0.839 0.005


What is the formula in the second record? Ac2IO2


What did the sixth record say?
Ac3IO4, optimized geometry, DFT PBE-GGA; magnetization = 0.00 μB/cell; symmetry = P4/mmm, No. 123; raw total energy = -7.344 eV/atom; formation energy without anion corrections = -3.130 eV/atom
1.0
-0.385 3.895 1.738
-1.543 -1.754 3.589
9.526 -0.728 3.741
Ac O I
3 4 1
Direct
0.500 0.500 0.744
0.500 0.500 0.256
0.000 0.000 0.000
0.500 0.000 0.151
0.000 0.500 0.151
0.000 0.500 0.849
0.500 0.000 0.849
0.000 0.000 0.500


Which of these has the highest raw total energy? Ac2I3O